Below is crystalline PrErAu at its relaxed geometry, with properties calculated at the PBE level.

Lattice parameters (Å, degrees): 7.130 6.682 7.333 90.00 97.29 90.00
Atoms (fractional coordinates):
Pr1 0.184 0.167 0.489
Pr2 0.184 0.333 0.989
Pr3 0.816 0.667 0.011
Pr4 0.816 0.833 0.511
Er1 0.391 0.661 0.671
Er2 0.391 0.839 0.171
Er3 0.609 0.161 0.829
Er4 0.609 0.339 0.329
Au1 0.133 0.592 0.342
Au2 0.133 0.908 0.842
Au3 0.867 0.092 0.158
Au4 0.867 0.408 0.658

Output
**Formation enthalpy at 0 K**: -0.46 eV/atom
**Total moment**: 0.00 μB/cell
**Crystal system**: monoclinic
**Uncorrected energy**: -4.66 eV/atom
**DOS(E_F)**: 1.24 states/eV/atom